Computed, not measured: crystalline MnF at its relaxed geometry at the GGA+U level of DFT.

Structure (CIF):
```
data_MnF
_symmetry_space_group_name_H-M 'I 4/m'
_symmetry_Int_Tables_number 87
_symmetry_space_group_name_Hall '-I 4'
_cell_length_a 9.318
_cell_length_b 9.318
_cell_length_c 3.158
_cell_angle_alpha 90.00
_cell_angle_beta 90.00
_cell_angle_gamma 90.00
loop_
_atom_site_label
_atom_site_type_symbol
_atom_site_fract_x
_atom_site_fract_y
_atom_site_fract_z
Mn1 Mn 0.108 0.671 0.000
F1 F 0.156 0.820 0.500
```

**ΔE to the lowest computed polymorph**: 5.6 kJ/mol of atoms
**E**: -6.148 eV per atom
**Total magnetic moment**: 2.3422 μB per atom